The following is a PBE calculation of an optimized crystal structure of ReHPtRh2, from Alexandria via LeMat-Bulk.

abc: 3.9283 3.9283 3.9549
angles: 90.00 90.00 90.00
Atoms (fractional coordinates):
Re1 0.0000 0.0000 0.5000
Rh1 0.0000 0.5000 0.0000
Rh2 0.5000 0.0000 0.0000
Pt1 0.5000 0.5000 0.5000
H1 0.0000 0.0000 0.0000

Results
Energy relative to the lowest polymorph listed for this composition (meV per atom): 0
Raw total energy (eV per atom): -7.213

=====

The following is a PBE calculation of an optimized crystal structure of Re2HPtRh, from Alexandria via LeMat-Bulk.

abc: 3.9006 3.9006 4.0414
angles: 90.00 90.00 90.00
Atoms (fractional coordinates):
Re1 0.0000 0.5000 0.0000
Re2 0.5000 0.0000 0.0000
Rh1 0.0000 0.0000 0.5000
Pt1 0.5000 0.5000 0.5000
H1 0.0000 0.0000 0.0000

Results
Raw total energy (eV per atom): -8.222

=====

The following is a PBE calculation of an optimized crystal structure of ReHRu2Pt, from Alexandria via LeMat-Bulk.

abc: 3.9275 3.9275 3.9004
angles: 90.00 90.00 90.00
Atoms (fractional coordinates):
Re1 0.0000 0.0000 0.5000
H1 0.0000 0.0000 0.0000
Pt1 0.5000 0.5000 0.5000
Ru1 0.0000 0.5000 0.0000
Ru2 0.5000 0.0000 0.0000

Results
Raw total energy (eV per atom): -7.990

=====

The following is a PBE calculation of an optimized crystal structure of Re2HRuPt, from Alexandria via LeMat-Bulk.

abc: 3.9158 3.9158 3.9764
angles: 90.00 90.00 90.00
Atoms (fractional coordinates):
Re1 0.0000 0.5000 0.0000
Re2 0.5000 0.0000 0.0000
H1 0.0000 0.0000 0.0000
Pt1 0.5000 0.5000 0.5000
Ru1 0.0000 0.0000 0.5000

Results
Raw total energy (eV per atom): -8.633